Crystalline KCu2Ag at its relaxed geometry, computed with PBE.

As for the energy of formation: 0.579 eV per atom. The energy is -2.4559 eV per atom.

It has space group I-4m2 (No. 119), with a = 4.1428 Å, b = 4.1428 Å, c = 9.1304 Å, α = 90.00°, β = 90.00° and γ = 90.00°. The asymmetric unit holds K at (0.0000, 0.0000, 0.0000), Cu at (0.0000, 0.0000, 0.5000), Cu at (0.0000, 0.5000, 0.2500) and Ag at (0.0000, 0.5000, 0.7500).